# 1
LiTlTe3 after structural relaxation, computed with PBE.

Unit cell a=5.835 b=5.835 c=5.835 alpha=90.00 beta=90.00 gamma=90.00
Sites, in units of the cell vectors:
Tl  0.000  0.000  0.000
Te  0.000  0.500  0.000
Te  0.000  0.000  0.500
Te  0.500  0.000  0.000
Li  0.500  0.500  0.500

Results
Its volume is 39.73 Å³/atom. The value obtained for the energy relative to the elements, uncorrected is 0.3063 eV per atom. As for the distance to the lowest polymorph of the same formula: 300.1 meV per atom. The value obtained for the spin magnetization is 0.00 μB/cell.


# 2
LiTlTe after structural relaxation, computed with PBE.

Unit cell a=4.936 b=4.936 c=4.936 alpha=60.00 beta=60.00 gamma=60.00
Sites, in units of the cell vectors:
Tl  0.500  0.500  0.500
Te  0.000  0.000  0.000
Li  0.750  0.750  0.750

Results
Its volume is 28.35 Å³/atom. The value obtained for the energy relative to the elements, uncorrected is -0.5623 eV per atom. As for the distance to the lowest polymorph of the same formula: 95.3 meV per atom. The value obtained for the spin magnetization is 0.00 μB/cell.


# 3
LiTm2Tl3Te6 after structural relaxation, computed with PBE.

Unit cell a=7.642 b=7.642 c=8.177 alpha=98.99 beta=98.99 gamma=120.12
Sites, in units of the cell vectors:
Tm  0.667  0.333  0.000
Tm  0.333  0.667  0.000
Tl  0.170  0.830  0.500
Tl  0.830  0.170  0.500
Tl  0.500  0.500  0.500
Te  0.928  0.592  0.784
Te  0.592  0.928  0.784
Te  0.072  0.408  0.216
Te  0.736  0.736  0.217
Te  0.408  0.072  0.216
Te  0.264  0.264  0.783
Li  0.000  0.000  0.000

Results
Its volume is 32.69 Å³/atom. The value obtained for the energy relative to the elements, uncorrected is -0.7814 eV per atom. The value obtained for the spin magnetization is 0.00 μB/cell.


# 4
LiTm2TlTe4 after structural relaxation, computed with PBE.

Unit cell a=4.405 b=7.686 c=15.580 alpha=90.00 beta=90.00 gamma=106.65
Sites, in units of the cell vectors:
Te  0.731  0.463  0.608
Te  0.731  0.463  0.892
Te  0.269  0.537  0.392
Te  0.000  0.000  0.000
Te  0.561  0.123  0.250
Te  0.000  0.000  0.500
Te  0.439  0.877  0.750
Te  0.269  0.537  0.108
Li  0.166  0.332  0.250
Li  0.834  0.668  0.750
Tm  0.367  0.734  0.565
Tm  0.633  0.266  0.065
Tm  0.367  0.734  0.935
Tm  0.633  0.266  0.435
Tl  0.886  0.772  0.250
Tl  0.114  0.228  0.750

Results
Its volume is 31.59 Å³/atom. The value obtained for the energy relative to the elements, uncorrected is -1.1055 eV per atom. The value obtained for the spin magnetization is 0.00 μB/cell.


# 5
Li2U3TlTe6 after structural relaxation, computed with PBE.

Unit cell a=4.325 b=9.159 c=10.325 alpha=108.08 beta=102.09 gamma=90.00
Each line ends with the local moment (μB).
Sites, in units of the cell vectors:
U  0.500  0.500  0.000  2.69
U  0.167  0.825  0.333  2.77
U  0.833  0.175  0.667  2.77
Te  0.995  0.262  0.990  -0.06
Te  0.005  0.738  0.010  -0.06
Te  0.336  0.428  0.672  -0.06
Te  0.664  0.572  0.328  -0.06
Te  0.672  0.080  0.344  -0.06
Te  0.328  0.920  0.656  -0.06
Li  0.183  0.332  0.367  0.00
Li  0.817  0.668  0.633  0.00
Tl  0.500  0.000  0.000  -0.01

Results
Its volume is 31.60 Å³/atom. The value obtained for the energy relative to the elements, uncorrected is -0.6443 eV per atom. The value obtained for the spin magnetization is 9.00 μB/cell.


# 6
LiUTl2Te4 after structural relaxation, computed with PBE.

Unit cell a=4.437 b=7.456 c=8.456 alpha=106.98 beta=90.00 gamma=90.00
Each line ends with the local moment (μB).
Sites, in units of the cell vectors:
Te  0.000  0.252  0.793  -0.08
Te  0.500  0.767  0.791  -0.06
Te  0.000  0.748  0.207  -0.08
Te  0.500  0.233  0.209  -0.06
Li  0.500  0.500  0.000  0.00
Tl  0.500  0.000  0.500  -0.01
Tl  0.000  0.500  0.500  -0.01
U  0.000  0.000  0.000  1.47

Results
Its volume is 33.44 Å³/atom. The value obtained for the energy relative to the elements, uncorrected is -0.5517 eV per atom. The value obtained for the spin magnetization is 1.01 μB/cell.


# 7
LiU3Tl4Te8 after structural relaxation, computed with PBE.

Unit cell a=8.860 b=9.654 c=8.860 alpha=117.32 beta=120.00 gamma=90.00
Each line ends with the local moment (μB).
Sites, in units of the cell vectors:
Te  0.734  0.709  0.972  -0.07
Te  0.739  0.716  0.478  -0.06
Te  0.238  0.709  0.972  -0.07
Te  0.762  0.291  0.524  -0.07
Te  0.266  0.291  0.028  -0.07
Te  0.762  0.291  0.028  -0.07
Te  0.238  0.709  0.476  -0.07
Te  0.261  0.284  0.522  -0.06
Tl  0.000  0.000  0.500  -0.01
Tl  0.500  0.000  0.500  -0.01
Tl  0.500  0.000  0.000  -0.01
Tl  0.000  0.000  0.000  -0.01
U  0.500  0.500  0.500  2.40
U  0.000  0.500  0.500  2.40
U  0.500  0.500  0.000  2.40
Li  0.000  0.500  0.000  0.00

Results
Its volume is 34.79 Å³/atom. The value obtained for the energy relative to the elements, uncorrected is -0.5698 eV per atom. The value obtained for the spin magnetization is 7.00 μB/cell.


# 8
LiTlVTe3 after structural relaxation, computed with PBE.

Unit cell a=3.983 b=8.371 c=10.536 alpha=109.73 beta=90.00 gamma=90.00
Each line ends with the local moment (μB).
Sites, in units of the cell vectors:
Te  0.750  0.271  0.574  -0.07
Te  0.750  0.911  0.131  -0.12
Te  0.250  0.729  0.426  -0.07
Te  0.750  0.456  0.117  -0.10
Te  0.250  0.544  0.883  -0.10
Te  0.250  0.089  0.869  -0.12
Li  0.250  0.066  0.608  0.00
Li  0.750  0.934  0.392  0.00
V  0.250  0.706  0.163  1.62
V  0.750  0.294  0.837  1.62
Tl  0.250  0.278  0.299  -0.01
Tl  0.750  0.722  0.701  -0.01

Results
Its volume is 27.55 Å³/atom. The value obtained for the energy relative to the elements, uncorrected is -0.4238 eV per atom. The value obtained for the spin magnetization is 2.78 μB/cell.


# 9
LiTlZnTe2 after structural relaxation, computed with PBE.

Unit cell a=4.499 b=7.628 c=9.456 alpha=82.89 beta=76.24 gamma=72.85
Sites, in units of the cell vectors:
Te  0.830  0.257  0.082
Te  0.426  0.809  0.338
Te  0.574  0.191  0.662
Te  0.170  0.743  0.918
Zn  0.958  0.900  0.184
Zn  0.042  0.100  0.816
Tl  0.819  0.729  0.633
Tl  0.181  0.271  0.367
Li  0.358  0.358  0.925
Li  0.642  0.642  0.075

Results
Its volume is 30.06 Å³/atom. The value obtained for the energy relative to the elements, uncorrected is -0.5542 eV per atom. As for the distance to the lowest polymorph of the same formula: 0.0 meV per atom. The value obtained for the spin magnetization is 0.00 μB/cell.


# 10
LiTlZnTe2 after structural relaxation, computed with PBE.

Unit cell a=5.500 b=4.957 c=5.500 alpha=90.00 beta=90.00 gamma=90.00
Sites, in units of the cell vectors:
Zn  0.000  0.000  0.000
Te  0.000  0.000  0.500
Te  0.500  0.000  0.000
Li  0.000  0.500  0.000
Tl  0.500  0.500  0.500

Results
Its volume is 29.99 Å³/atom. The value obtained for the energy relative to the elements, uncorrected is -0.1005 eV per atom. As for the distance to the lowest polymorph of the same formula: 453.7 meV per atom. The value obtained for the spin magnetization is 0.00 μB/cell.


# 11
LiZrTlTe3 after structural relaxation, computed with PBE.

Unit cell a=4.210 b=9.291 c=10.090 alpha=107.59 beta=90.00 gamma=90.00
Sites, in units of the cell vectors:
Te  0.750  0.883  0.119
Te  0.250  0.765  0.457
Te  0.250  0.117  0.881
Te  0.750  0.453  0.151
Te  0.750  0.235  0.543
Te  0.250  0.547  0.849
Tl  0.750  0.792  0.741
Tl  0.250  0.208  0.259
Zr  0.750  0.320  0.839
Zr  0.250  0.680  0.161
Li  0.250  0.076  0.602
Li  0.750  0.924  0.398

Results
Its volume is 31.35 Å³/atom. The value obtained for the energy relative to the elements, uncorrected is -0.7553 eV per atom. The value obtained for the spin magnetization is 0.00 μB/cell.


# 12
LiTm2Te3 after structural relaxation, computed with PBE.

Unit cell a=4.074 b=7.162 c=11.223 alpha=90.00 beta=90.00 gamma=90.00
Sites, in units of the cell vectors:
Tm  0.000  0.963  0.115
Tm  0.000  0.463  0.885
Tm  0.500  0.985  0.508
Tm  0.500  0.485  0.492
Te  0.500  0.284  0.063
Te  0.500  0.784  0.937
Te  0.000  0.223  0.377
Te  0.000  0.723  0.623
Te  0.500  0.754  0.279
Te  0.500  0.254  0.721
Li  0.000  0.993  0.801
Li  0.000  0.493  0.199

Results
Its volume is 27.29 Å³/atom. The value obtained for the energy relative to the elements, uncorrected is -1.1825 eV per atom. As for the distance to the lowest polymorph of the same formula: 64.8 meV per atom. The value obtained for the spin magnetization is 0.00 μB/cell.